(1)
5
Lattice="4.866 0.000 0.000 0.000 4.866 0.000 0.000 0.000 5.359" Properties=species:S:1:pos:R:3 comment="KInGeIr2, relaxed, DFT PBE" final_energy_ev_per_atom=-2.84 crystal_system=tetragonal magnetic_moment_mub_per_cell=0.0 pbc="T T T"
K 0.000 0.000 0.000
In 0.000 0.000 2.679
Ge 2.433 2.433 2.679
Ir 0.000 2.433 0.000
Ir 2.433 0.000 0.000



(2)
16
Lattice="6.671 0.000 0.000 0.000 10.913 0.000 0.000 0.000 6.834" Properties=species:S:1:pos:R:3 comment="Tl3HgPb4, relaxed, DFT PBE" final_energy_ev_per_atom=-2.73 e_above_lowest_polymorph_mev_per_atom=43 crystal_system=orthorhombic magnetic_moment_mub_per_cell=0.0 pbc="T T T"
Tl 0.000 0.000 0.000
Tl 0.000 2.788 5.095
Tl 0.000 8.124 5.095
Tl 3.335 2.668 1.678
Tl 3.335 5.456 3.417
Tl 3.335 8.245 1.678
Hg 0.000 5.456 3.442
Hg 3.335 0.000 0.025
Pb 0.000 2.841 1.699
Pb 0.000 8.072 1.699
Pb 1.659 0.000 3.402
Pb 1.677 5.456 6.818
Pb 3.335 2.616 5.115
Pb 3.335 8.297 5.115
Pb 4.994 5.456 6.818
Pb 5.012 0.000 3.402



no.,DFT formation energy (eV/atom)
1,2.398
2,0.046